1.
! LaPr6Dy3Y2 (GGA-PBE, relaxed); values from VASP
! Formation enthalpy at 0 K in meV per atom: 14
&SYSTEM
  ibrav = 0, nat = 12, ntyp = 4
/
ATOMIC_SPECIES
La 138.91 La.upf
Pr 140.91 Pr.upf
Dy 162.50 Dy.upf
Y 88.91 Y.upf
ATOMIC_POSITIONS crystal
La 0.000 0.000 0.000
Pr 0.085 0.418 0.253
Pr 0.249 0.249 0.747
Pr 0.418 0.085 0.253
Pr 0.582 0.915 0.747
Pr 0.751 0.751 0.253
Pr 0.915 0.582 0.747
Dy 0.167 0.833 0.500
Dy 0.500 0.500 0.500
Dy 0.833 0.167 0.500
Y 0.334 0.666 0.000
Y 0.666 0.334 0.000
CELL_PARAMETERS angstrom
3.170 -5.493 0.000
3.170 5.493 0.000
-2.113 0.000 11.831

2.
! La2Pr6Dy3Y (GGA-PBE, relaxed); values from VASP
! Formation enthalpy at 0 K in meV per atom: 16
&SYSTEM
  ibrav = 0, nat = 12, ntyp = 4
/
ATOMIC_SPECIES
La 138.91 La.upf
Pr 140.91 Pr.upf
Dy 162.50 Dy.upf
Y 88.91 Y.upf
ATOMIC_POSITIONS crystal
La 0.167 0.833 0.000
La 0.833 0.167 0.000
Pr 0.082 0.415 0.745
Pr 0.252 0.252 0.255
Pr 0.415 0.082 0.745
Pr 0.585 0.918 0.255
Pr 0.748 0.748 0.745
Pr 0.918 0.585 0.255
Dy 0.000 0.000 0.500
Dy 0.334 0.666 0.500
Dy 0.666 0.334 0.500
Y 0.500 0.500 0.000
CELL_PARAMETERS angstrom
3.181 -5.513 0.000
3.181 5.513 0.000
-2.125 0.000 11.909

3.
! LaPrDy5Y2 (GGA-PBE, relaxed); values from VASP
! Formation enthalpy at 0 K in meV per atom: 280
&SYSTEM
  ibrav = 0, nat = 18, ntyp = 4
/
ATOMIC_SPECIES
La 138.91 La.upf
Pr 140.91 Pr.upf
Dy 162.50 Dy.upf
Y 88.91 Y.upf
ATOMIC_POSITIONS crystal
La 0.250 0.250 0.000
La 0.750 0.750 0.000
Pr 0.250 0.750 0.500
Pr 0.750 0.250 0.500
Dy 0.000 0.000 0.000
Dy 0.068 0.568 0.906
Dy 0.163 0.068 0.500
Dy 0.337 0.837 0.906
Dy 0.432 0.337 0.500
Dy 0.500 0.500 0.000
Dy 0.568 0.663 0.500
Dy 0.663 0.163 0.094
Dy 0.837 0.932 0.500
Dy 0.932 0.432 0.094
Y 0.118 0.382 0.500
Y 0.382 0.882 0.263
Y 0.618 0.118 0.737
Y 0.882 0.618 0.500
CELL_PARAMETERS angstrom
-4.387 4.387 7.770
4.387 -4.387 7.770
4.387 4.387 -7.770

4.
! La2Pr4Dy2Y (GGA-PBE, relaxed); values from VASP
! Formation enthalpy at 0 K in meV per atom: 9
&SYSTEM
  ibrav = 0, nat = 9, ntyp = 4
/
ATOMIC_SPECIES
La 138.91 La.upf
Pr 140.91 Pr.upf
Dy 162.50 Dy.upf
Y 88.91 Y.upf
ATOMIC_POSITIONS crystal
La 0.166 0.166 0.498
La 0.834 0.834 0.502
Pr 0.018 0.018 0.837
Pr 0.314 0.314 0.167
Pr 0.686 0.686 0.833
Pr 0.982 0.982 0.163
Dy 0.351 0.351 0.832
Dy 0.649 0.649 0.168
Y 0.500 0.500 0.500
CELL_PARAMETERS angstrom
9.594 -1.854 0.000
9.594 1.854 0.000
-4.273 0.000 8.855

5.
! La2Pr4DyY2 (GGA-PBE, relaxed); values from VASP
! Formation enthalpy at 0 K in meV per atom: 7
&SYSTEM
  ibrav = 0, nat = 9, ntyp = 4
/
ATOMIC_SPECIES
La 138.91 La.upf
Pr 140.91 Pr.upf
Dy 162.50 Dy.upf
Y 88.91 Y.upf
ATOMIC_POSITIONS crystal
La 0.165 0.165 0.000
La 0.835 0.835 0.000
Pr 0.018 0.018 0.334
Pr 0.314 0.314 0.667
Pr 0.686 0.686 0.333
Pr 0.982 0.982 0.666
Dy 0.500 0.500 0.000
Y 0.352 0.352 0.333
Y 0.648 0.648 0.667
CELL_PARAMETERS angstrom
9.596 -1.856 0.000
9.596 1.856 0.000
-4.265 0.000 8.868

6.
! La6PrDy2Y (GGA-PBE, relaxed); values from VASP
! Formation enthalpy at 0 K in meV per atom: 187
&SYSTEM
  ibrav = 0, nat = 10, ntyp = 4
/
ATOMIC_SPECIES
La 138.91 La.upf
Pr 140.91 Pr.upf
Dy 162.50 Dy.upf
Y 88.91 Y.upf
ATOMIC_POSITIONS crystal
La 0.099 0.541 0.200
La 0.134 0.134 0.433
La 0.459 0.901 0.800
La 0.541 0.099 0.200
La 0.866 0.866 0.567
La 0.901 0.459 0.800
Pr 0.000 0.000 0.000
Dy 0.410 0.410 0.836
Dy 0.590 0.590 0.164
Y 0.500 0.500 0.500
CELL_PARAMETERS angstrom
5.686 -3.624 0.000
5.686 3.624 0.000
-2.121 0.000 8.758

7.
! La2PrDyY6 (GGA-PBE, relaxed); values from VASP
! Formation enthalpy at 0 K in meV per atom: 113
&SYSTEM
  ibrav = 0, nat = 20, ntyp = 4
/
ATOMIC_SPECIES
La 138.91 La.upf
Pr 140.91 Pr.upf
Dy 162.50 Dy.upf
Y 88.91 Y.upf
ATOMIC_POSITIONS crystal
La 0.192 0.285 0.045
La 0.285 0.192 0.545
La 0.715 0.808 0.455
La 0.808 0.715 0.955
Pr 0.013 0.987 0.250
Pr 0.987 0.013 0.750
Dy 0.404 0.596 0.750
Dy 0.596 0.404 0.250
Y 0.019 0.576 0.187
Y 0.117 0.733 0.557
Y 0.267 0.883 0.943
Y 0.303 0.513 0.383
Y 0.424 0.981 0.313
Y 0.487 0.697 0.117
Y 0.513 0.303 0.883
Y 0.576 0.019 0.687
Y 0.697 0.487 0.617
Y 0.733 0.117 0.057
Y 0.883 0.267 0.443
Y 0.981 0.424 0.813
CELL_PARAMETERS angstrom
4.576 -7.517 0.000
4.576 7.517 0.000
-1.882 0.000 9.820

8.
! LaPr2Dy2Y (GGA-PBE, relaxed); values from VASP
! Formation enthalpy at 0 K in meV per atom: 62
&SYSTEM
  ibrav = 0, nat = 12, ntyp = 4
/
ATOMIC_SPECIES
La 138.91 La.upf
Pr 140.91 Pr.upf
Dy 162.50 Dy.upf
Y 88.91 Y.upf
ATOMIC_POSITIONS crystal
La 0.250 0.000 0.157
La 0.750 0.000 0.843
Pr 0.000 0.000 0.500
Pr 0.250 0.500 0.675
Pr 0.500 0.000 0.500
Pr 0.750 0.500 0.325
Dy 0.250 0.000 0.828
Dy 0.250 0.500 0.336
Dy 0.750 0.000 0.172
Dy 0.750 0.500 0.664
Y 0.000 0.500 0.000
Y 0.500 0.500 0.000
CELL_PARAMETERS angstrom
7.140 0.000 0.000
0.000 5.756 0.000
0.000 0.000 9.964

9.
! La2PrDy2Y6 (GGA-PBE, relaxed); values from VASP
! Formation enthalpy at 0 K in meV per atom: 171
&SYSTEM
  ibrav = 0, nat = 11, ntyp = 4
/
ATOMIC_SPECIES
La 138.91 La.upf
Pr 140.91 Pr.upf
Dy 162.50 Dy.upf
Y 88.91 Y.upf
ATOMIC_POSITIONS crystal
La 0.240 0.760 0.000
La 0.760 0.240 0.000
Pr 0.500 0.500 0.500
Dy 0.163 0.837 0.500
Dy 0.837 0.163 0.500
Y 0.117 0.453 0.256
Y 0.222 0.222 0.779
Y 0.453 0.117 0.256
Y 0.547 0.883 0.744
Y 0.778 0.778 0.221
Y 0.883 0.547 0.744
CELL_PARAMETERS angstrom
3.263 -5.149 0.000
3.263 5.149 0.000
-0.796 0.000 11.395

10.
! La2PrDy2Y2 (GGA-PBE, relaxed); values from VASP
! Formation enthalpy at 0 K in meV per atom: 27
&SYSTEM
  ibrav = 0, nat = 7, ntyp = 4
/
ATOMIC_SPECIES
La 138.91 La.upf
Pr 140.91 Pr.upf
Dy 162.50 Dy.upf
Y 88.91 Y.upf
ATOMIC_POSITIONS crystal
La 0.142 0.142 0.428
La 0.858 0.858 0.572
Pr 0.000 0.000 0.000
Dy 0.429 0.429 0.283
Dy 0.571 0.571 0.717
Y 0.284 0.284 0.860
Y 0.716 0.716 0.140
CELL_PARAMETERS angstrom
5.740 -2.569 0.000
5.740 2.569 0.000
-1.160 0.000 8.074

11.
! LaPr2Dy5Y (GGA-PBE, relaxed); values from VASP
! Formation enthalpy at 0 K in meV per atom: 256
&SYSTEM
  ibrav = 0, nat = 18, ntyp = 4
/
ATOMIC_SPECIES
La 138.91 La.upf
Pr 140.91 Pr.upf
Dy 162.50 Dy.upf
Y 88.91 Y.upf
ATOMIC_POSITIONS crystal
La 0.250 0.250 0.000
La 0.750 0.750 0.000
Pr 0.118 0.618 0.736
Pr 0.382 0.118 0.500
Pr 0.618 0.882 0.500
Pr 0.882 0.382 0.264
Dy 0.000 0.000 0.000
Dy 0.073 0.151 0.500
Dy 0.151 0.651 0.078
Dy 0.349 0.427 0.500
Dy 0.427 0.927 0.078
Dy 0.500 0.500 0.000
Dy 0.573 0.073 0.922
Dy 0.651 0.573 0.500
Dy 0.849 0.349 0.922
Dy 0.927 0.849 0.500
Y 0.250 0.750 0.500
Y 0.750 0.250 0.500
CELL_PARAMETERS angstrom
-4.390 4.390 7.856
4.390 -4.390 7.856
4.390 4.390 -7.856

12.
! La6Pr2DyY (GGA-PBE, relaxed); values from VASP
! Formation enthalpy at 0 K in meV per atom: 111
&SYSTEM
  ibrav = 0, nat = 20, ntyp = 4
/
ATOMIC_SPECIES
La 138.91 La.upf
Pr 140.91 Pr.upf
Dy 162.50 Dy.upf
Y 88.91 Y.upf
ATOMIC_POSITIONS crystal
La 0.035 0.473 0.680
La 0.072 0.780 0.904
La 0.220 0.928 0.596
La 0.276 0.576 0.091
La 0.424 0.724 0.409
La 0.473 0.035 0.180
La 0.527 0.965 0.820
La 0.576 0.276 0.591
La 0.724 0.424 0.909
La 0.780 0.072 0.404
La 0.928 0.220 0.096
La 0.965 0.527 0.320
Pr 0.206 0.296 0.438
Pr 0.296 0.206 0.938
Pr 0.704 0.794 0.062
Pr 0.794 0.704 0.562
Dy 0.434 0.566 0.750
Dy 0.566 0.434 0.250
Y 0.071 0.929 0.250
Y 0.929 0.071 0.750
CELL_PARAMETERS angstrom
4.952 -7.719 0.000
4.952 7.719 0.000
-0.117 0.000 9.338

13.
! La2Pr5DyY (GGA-PBE, relaxed); values from VASP
! Formation enthalpy at 0 K in meV per atom: 241
&SYSTEM
  ibrav = 0, nat = 18, ntyp = 4
/
ATOMIC_SPECIES
La 138.91 La.upf
Pr 140.91 Pr.upf
Dy 162.50 Dy.upf
Y 88.91 Y.upf
ATOMIC_POSITIONS crystal
La 0.123 0.623 0.745
La 0.377 0.123 0.500
La 0.623 0.877 0.500
La 0.877 0.377 0.255
Pr 0.000 0.000 0.000
Pr 0.078 0.133 0.500
Pr 0.133 0.633 0.055
Pr 0.367 0.422 0.500
Pr 0.422 0.922 0.055
Pr 0.500 0.500 0.000
Pr 0.578 0.078 0.945
Pr 0.633 0.578 0.500
Pr 0.867 0.367 0.945
Pr 0.922 0.867 0.500
Dy 0.250 0.250 0.000
Dy 0.750 0.750 0.000
Y 0.250 0.750 0.500
Y 0.750 0.250 0.500
CELL_PARAMETERS angstrom
-4.346 4.346 8.516
4.346 -4.346 8.516
4.346 4.346 -8.516

14.
! LaPrDy3Y (GGA-PBE, relaxed); values from VASP
! Formation enthalpy at 0 K in meV per atom: 108
&SYSTEM
  ibrav = 0, nat = 12, ntyp = 4
/
ATOMIC_SPECIES
La 138.91 La.upf
Pr 140.91 Pr.upf
Dy 162.50 Dy.upf
Y 88.91 Y.upf
ATOMIC_POSITIONS crystal
La 0.002 0.998 0.750
La 0.998 0.002 0.250
Pr 0.500 0.500 0.000
Pr 0.500 0.500 0.500
Dy 0.175 0.825 0.001
Dy 0.175 0.825 0.499
Dy 0.327 0.673 0.250
Dy 0.673 0.327 0.750
Dy 0.825 0.175 0.501
Dy 0.825 0.175 0.999
Y 0.327 0.673 0.750
Y 0.673 0.327 0.250
CELL_PARAMETERS angstrom
2.974 -5.691 0.000
2.974 5.691 0.000
0.000 0.000 11.895

15.
! LaPr2Dy2Y2 (GGA-PBE, relaxed); values from VASP
! Formation enthalpy at 0 K in meV per atom: 88
&SYSTEM
  ibrav = 0, nat = 7, ntyp = 4
/
ATOMIC_SPECIES
La 138.91 La.upf
Pr 140.91 Pr.upf
Dy 162.50 Dy.upf
Y 88.91 Y.upf
ATOMIC_POSITIONS crystal
La 0.000 0.000 0.000
Pr 0.327 0.327 0.415
Pr 0.673 0.673 0.585
Dy 0.226 0.226 0.863
Dy 0.774 0.774 0.137
Y 0.452 0.452 0.727
Y 0.548 0.548 0.273
CELL_PARAMETERS angstrom
5.963 -1.776 0.000
5.963 1.776 0.000
-3.760 0.000 11.355

16.
! La2PrDy3Y6 (GGA-PBE, relaxed); values from VASP
! Formation enthalpy at 0 K in meV per atom: 20
&SYSTEM
  ibrav = 0, nat = 12, ntyp = 4
/
ATOMIC_SPECIES
La 138.91 La.upf
Pr 140.91 Pr.upf
Dy 162.50 Dy.upf
Y 88.91 Y.upf
ATOMIC_POSITIONS crystal
La 0.167 0.833 0.000
La 0.833 0.167 0.000
Pr 0.500 0.500 0.000
Dy 0.000 0.000 0.500
Dy 0.333 0.667 0.500
Dy 0.667 0.333 0.500
Y 0.082 0.415 0.745
Y 0.252 0.252 0.255
Y 0.415 0.082 0.745
Y 0.585 0.918 0.255
Y 0.748 0.748 0.745
Y 0.918 0.585 0.255
CELL_PARAMETERS angstrom
3.128 -5.417 0.000
3.128 5.417 0.000
-2.081 0.000 11.714

17.
! La2Pr6DyY3 (GGA-PBE, relaxed); values from VASP
! Formation enthalpy at 0 K in meV per atom: 14
&SYSTEM
  ibrav = 0, nat = 12, ntyp = 4
/
ATOMIC_SPECIES
La 138.91 La.upf
Pr 140.91 Pr.upf
Dy 162.50 Dy.upf
Y 88.91 Y.upf
ATOMIC_POSITIONS crystal
La 0.167 0.833 0.000
La 0.833 0.167 0.000
Pr 0.084 0.416 0.747
Pr 0.252 0.252 0.254
Pr 0.416 0.084 0.747
Pr 0.584 0.916 0.253
Pr 0.748 0.748 0.746
Pr 0.916 0.584 0.253
Dy 0.500 0.500 0.000
Y 0.000 0.000 0.500
Y 0.334 0.666 0.500
Y 0.666 0.334 0.500
CELL_PARAMETERS angstrom
3.185 -5.521 0.000
3.185 5.521 0.000
-2.127 0.000 11.911

18.
! LaPrDy2Y5 (GGA-PBE, relaxed); values from VASP
! Formation enthalpy at 0 K in meV per atom: 253
&SYSTEM
  ibrav = 0, nat = 18, ntyp = 4
/
ATOMIC_SPECIES
La 138.91 La.upf
Pr 140.91 Pr.upf
Dy 162.50 Dy.upf
Y 88.91 Y.upf
ATOMIC_POSITIONS crystal
La 0.250 0.250 0.000
La 0.750 0.750 0.000
Pr 0.250 0.750 0.500
Pr 0.750 0.250 0.500
Dy 0.117 0.617 0.734
Dy 0.383 0.117 0.500
Dy 0.617 0.883 0.500
Dy 0.883 0.383 0.266
Y 0.000 0.000 0.000
Y 0.070 0.166 0.500
Y 0.166 0.666 0.096
Y 0.334 0.430 0.500
Y 0.430 0.930 0.096
Y 0.500 0.500 0.000
Y 0.570 0.070 0.904
Y 0.666 0.570 0.500
Y 0.834 0.334 0.904
Y 0.930 0.834 0.500
CELL_PARAMETERS angstrom
-4.395 4.395 7.791
4.395 -4.395 7.791
4.395 4.395 -7.791

19.
! LaPrDyZn (GGA-PBE, relaxed); values from VASP
! Formation enthalpy at 0 K in meV per atom: 20
! Polymorph energy (0 for the lowest one) in meV per atom: 173
&SYSTEM
  ibrav = 0, nat = 4, ntyp = 4
/
ATOMIC_SPECIES
La 138.91 La.upf
Pr 140.91 Pr.upf
Dy 162.50 Dy.upf
Zn 65.41 Zn.upf
ATOMIC_POSITIONS crystal
La 0.000 0.000 0.000
Pr 0.500 0.500 0.500
Dy 0.750 0.750 0.750
Zn 0.250 0.250 0.250
CELL_PARAMETERS angstrom
0.000 3.897 3.897
3.897 0.000 3.897
3.897 3.897 0.000

20.
! LaPrDyZn (GGA-PBE, relaxed); values from VASP
! Formation enthalpy at 0 K in meV per atom: -153
! Polymorph energy (0 for the lowest one) in meV per atom: 0
&SYSTEM
  ibrav = 0, nat = 4, ntyp = 4
/
ATOMIC_SPECIES
La 138.91 La.upf
Pr 140.91 Pr.upf
Dy 162.50 Dy.upf
Zn 65.41 Zn.upf
ATOMIC_POSITIONS crystal
La 0.000 0.000 0.000
Pr 0.500 0.500 0.306
Dy 0.000 0.000 0.591
Zn 0.500 0.500 0.774
CELL_PARAMETERS angstrom
3.668 0.000 0.000
0.000 3.668 0.000
0.000 0.000 8.913